Compound: LaCrTe2
Source: the Alexandria database
Functional: PBE-GGA
Structure: relaxed

```
data_LaCrTe2
_chemical_formula_sum 'La2 Cr2 Te4'
_cell_length_a 4.864
_cell_length_b 6.070
_cell_length_c 7.680
_cell_angle_alpha 90.00
_cell_angle_beta 90.00
_cell_angle_gamma 90.00
_space_group_name_H-M_alt 'C m m m'
_space_group_IT_number 65
_space_group_name_Hall '-C 2 2'
loop_
_atom_site_label
_atom_site_fract_x
_atom_site_fract_y
_atom_site_fract_z
La1 0.000 0.000 0.000
Cr1 0.000 0.000 0.500
Te1 0.000 0.500 0.266
```

raw formation energy: -525 meV/atom
total magnetic moment: 9.5 μB/cell
energy relative to the lowest polymorph listed for this composition: 100 kJ/mol of formula units
electronic total energy: -5.7336 eV/atom